## Ba2SrAl (PBEsol)

Data for a geometry-optimized Ba2SrAl structure.

Calculated values
final energy: -10.34 eV/cell
energy relative to the elements: -27 meV per atom
symmetry: P4mm (99)
density of states at the Fermi level: 4.71 states/eV/cell

Cell lengths 4.0805, 4.0805, 10.5042 Å; angles 90.00, 90.00, 90.00 degrees
Element x y z (fractional)
Sr: 0.0000 0.0000 0.5722
Ba: 0.5000 0.5000 0.2622
Ba: 0.0000 0.0000 0.9275
Al: 0.5000 0.5000 0.7381

---

## GaRu3Se (PBEsol)

Data for a geometry-optimized GaRu3Se structure.

Calculated values
final energy: -30.05 eV/cell
E_form (uncorrected): 1.531 eV/atom
symmetry: Pm-3m (221)
density of states at the Fermi level: 6.57 states/eV/cell

Cell lengths 4.4638, 4.4638, 4.4638 Å; angles 90.00, 90.00, 90.00 degrees
Element x y z (fractional)
Ru: 0.5000 0.0000 0.0000
Ru: 0.0000 0.5000 0.0000
Ru: 0.0000 0.0000 0.5000
Ga: 0.0000 0.0000 0.0000
Se: 0.5000 0.5000 0.5000

---

## Y3PSe (PBEsol)

Data for a geometry-optimized Y3PSe structure.

Calculated values
final energy: -33.45 eV/cell
E_form (uncorrected): -0.669 eV/atom
symmetry: Pm-3m (221)
density of states at the Fermi level: 5.42 states/eV/cell

Cell lengths 5.1767, 5.1767, 5.1767 Å; angles 90.00, 90.00, 90.00 degrees
Element x y z (fractional)
P: 0.0000 0.0000 0.0000
Y: 0.5000 0.0000 0.0000
Y: 0.0000 0.5000 0.0000
Y: 0.0000 0.0000 0.5000
Se: 0.5000 0.5000 0.5000

---

## CuRh2Cl (PBEsol)

Data for a geometry-optimized CuRh2Cl structure.

Calculated values
final energy: -21.02 eV/cell
E_form (uncorrected): 0.401 eV/atom
symmetry: Cmmm (65)
density of states at the Fermi level: 3.95 states/eV/cell

Cell lengths 2.7452, 2.7951, 8.2919 Å; angles 90.00, 90.00, 119.41 degrees
Element x y z (fractional)
Rh: 0.0000 0.0000 0.2534
Rh: 0.0000 0.0000 0.7466
Cu: 0.5000 0.0000 0.0000
Cl: 0.5000 0.0000 0.5000